Entry from Alexandria: a relaxed OsWSe2 crystal (PBE-GGA).

a = 4.346 Å, b = 4.019 Å, c = 4.021 Å
α = 81.51°, β = 90.00°, γ = 90.00°
Fractional positions:
Se 0.000 0.999 0.000
Se 0.000 0.501 0.500
Os 0.500 0.750 0.750
W 0.500 0.250 0.250

Values from the calculation:
The raw formation energy comes out at 0.83 eV/atom. Its relative energy among the computed polymorphs is 0.723 eV per atom. The magnetization comes out at 0.00 μB/atom. As for the density of states at the Fermi level: 3.35 states/eV per cell.

Entry from Alexandria: a relaxed OsWSe2 crystal (PBE-GGA).

a = 2.999 Å, b = 5.158 Å, c = 4.312 Å
α = 90.00°, β = 90.00°, γ = 90.00°
Fractional positions:
Se 0.500 0.500 0.000
Os 0.000 0.500 0.500
Se 0.000 0.000 0.000
W 0.500 0.000 0.500

Values from the calculation:
The raw formation energy comes out at 0.96 eV/atom. Its relative energy among the computed polymorphs is 0.855 eV per atom. The magnetization comes out at 0.00 μB/atom. As for the density of states at the Fermi level: 4.00 states/eV per cell.

Entry from Alexandria: a relaxed OsW2Se crystal (PBE-GGA).

a = 3.039 Å, b = 3.039 Å, c = 6.874 Å
α = 90.00°, β = 90.00°, γ = 90.00°
Fractional positions:
W 0.500 0.500 0.261
Os 0.000 0.000 0.487
Se 0.500 0.500 0.766
W 0.000 0.000 0.986

Values from the calculation:
The raw formation energy comes out at 0.33 eV/atom. The magnetization comes out at 0.00 μB/atom. As for the density of states at the Fermi level: 1.97 states/eV per cell.

Entry from Alexandria: a relaxed OsW3Se crystal (PBE-GGA).

a = 4.517 Å, b = 4.517 Å, c = 4.517 Å
α = 90.00°, β = 90.00°, γ = 90.00°
Fractional positions:
W 0.000 0.000 0.500
Os 0.500 0.500 0.500
W 0.500 0.000 0.000
Se 0.000 0.000 0.000
W 0.000 0.500 0.000

Values from the calculation:
The raw formation energy comes out at 1.90 eV/atom. Its relative energy among the computed polymorphs is 0.000 eV per atom. The magnetization comes out at 0.00 μB/atom. As for the density of states at the Fermi level: 6.46 states/eV per cell.

Entry from Alexandria: a relaxed OsW2Se crystal (PBE-GGA).

a = 4.532 Å, b = 3.767 Å, c = 3.767 Å
α = 90.00°, β = 90.00°, γ = 90.00°
Fractional positions:
Se 0.500 0.000 0.500
W 0.000 0.000 0.000
W 0.000 0.500 0.500
Os 0.500 0.500 0.000

Values from the calculation:
The raw formation energy comes out at 0.85 eV/atom. The magnetization comes out at 0.00 μB/atom. As for the density of states at the Fermi level: 2.10 states/eV per cell.

Entry from Alexandria: a relaxed OsW2Se crystal (PBE-GGA).

a = 5.115 Å, b = 5.115 Å, c = 5.115 Å
α = 136.20°, β = 136.20°, γ = 63.68°
Fractional positions:
W 0.500 0.500 0.000
Se 0.750 0.250 0.500
Os 0.250 0.750 0.500
W 0.000 0.000 0.000

Values from the calculation:
The raw formation energy comes out at 0.74 eV/atom. The magnetization comes out at 0.00 μB/atom. As for the density of states at the Fermi level: 2.90 states/eV per cell.

Entry from Alexandria: a relaxed Os2WSe crystal (PBE-GGA).

a = 2.926 Å, b = 2.926 Å, c = 7.096 Å
α = 90.00°, β = 90.00°, γ = 90.00°
Fractional positions:
W 0.500 0.500 0.750
Se 0.500 0.500 0.250
Os 0.000 0.000 0.493
Os 0.000 0.000 0.007

Values from the calculation:
The raw formation energy comes out at 0.38 eV/atom. The magnetization comes out at 0.00 μB/atom. As for the density of states at the Fermi level: 2.80 states/eV per cell.

Entry from Alexandria: a relaxed OsW2Se crystal (PBE-GGA).

a = 5.762 Å, b = 5.762 Å, c = 6.862 Å
α = 65.18°, β = 65.18°, γ = 90.00°
Fractional positions:
W 0.875 0.882 0.750
Se 0.500 0.500 0.000
Se 0.250 0.750 0.500
W 0.632 0.125 0.250
W 0.118 0.625 0.250
Os 0.000 0.000 0.000
W 0.375 0.368 0.750
Os 0.750 0.250 0.500

Values from the calculation:
The raw formation energy comes out at 1.08 eV/atom. The magnetization comes out at 0.00 μB/atom. As for the density of states at the Fermi level: 12.36 states/eV per cell.

Entry from Alexandria: a relaxed YOs2Se crystal (PBE-GGA).

a = 3.107 Å, b = 4.605 Å, c = 4.923 Å
α = 90.00°, β = 90.00°, γ = 90.00°
Fractional positions:
Y 0.000 0.500 0.500
Os 0.000 0.000 0.000
Se 0.500 0.000 0.500
Os 0.500 0.500 0.000

Values from the calculation:
The raw formation energy comes out at 0.23 eV/atom. The magnetization comes out at 0.00 μB/atom. As for the density of states at the Fermi level: 3.86 states/eV per cell.

Entry from Alexandria: a relaxed YOsSe2 crystal (PBE-GGA).

a = 4.477 Å, b = 3.687 Å, c = 5.536 Å
α = 71.29°, β = 90.00°, γ = 90.00°
Fractional positions:
Se 0.500 0.154 0.310
Se 0.000 0.852 0.924
Y 0.000 0.566 0.487
Os 0.500 0.928 0.779

Values from the calculation:
The raw formation energy comes out at -0.47 eV/atom. Its relative energy among the computed polymorphs is 0.048 eV per atom. The magnetization comes out at 0.00 μB/atom. As for the density of states at the Fermi level: 2.96 states/eV per cell.

Entry from Alexandria: a relaxed YOs3Se crystal (PBE-GGA).

a = 5.008 Å, b = 5.008 Å, c = 5.008 Å
α = 90.00°, β = 90.00°, γ = 90.00°
Fractional positions:
Os 0.000 0.000 0.500
Y 0.000 0.000 0.000
Os 0.000 0.500 0.000
Se 0.500 0.500 0.500
Os 0.500 0.000 0.000

Values from the calculation:
The raw formation energy comes out at 3.06 eV/atom. Its relative energy among the computed polymorphs is 2.133 eV per atom. The magnetization comes out at 1.21 μB/atom. As for the density of states at the Fermi level: 5.42 states/eV per cell.

Entry from Alexandria: a relaxed Y2OsSe crystal (PBE-GGA).

a = 4.065 Å, b = 4.065 Å, c = 7.409 Å
α = 76.09°, β = 76.09°, γ = 55.23°
Fractional positions:
Se 0.250 0.250 0.250
Y 0.505 0.505 0.520
Os 0.750 0.750 0.750
Y 0.995 0.995 0.980

Values from the calculation:
The raw formation energy comes out at -0.70 eV/atom. Its relative energy among the computed polymorphs is 0.133 eV per atom. The magnetization comes out at 0.00 μB/atom. As for the density of states at the Fermi level: 1.45 states/eV per cell.